# 1
DFT (GGA-PBE) results for crystalline MgZr2H8 at its relaxed geometry.

Calculated values
Crystal system = orthorhombic
SG = No. 71

Cell: 5.8563 5.8563 5.8563 Å, 147.47 129.31 61.53°
Atoms (fractional coordinates):
1 Mg 0.0000 0.0000 0.0000
2 Zr 0.3293 0.3293 0.0000
3 Zr 0.6707 0.6707 0.0000
4 H 0.0971 0.8466 0.2505
5 H 0.1937 0.6937 0.5000
6 H 0.2613 0.5000 0.7613
7 H 0.4039 0.1534 0.2505
8 H 0.5961 0.8466 0.7495
9 H 0.7387 0.5000 0.2387
10 H 0.8063 0.3063 0.5000
11 H 0.9029 0.1534 0.7495


# 2
DFT (GGA-PBE) results for crystalline MgZrH at its relaxed geometry.

Calculated values
Crystal system = trigonal
Excess energy over the best structure of this formula in the dataset = 30 meV/atom
SG = No. 156

Cell: 3.2962 3.2962 5.2321 Å, 90.00 90.00 120.00°
Atoms (fractional coordinates):
1 Mg 0.0000 0.0000 0.0000
2 Zr 0.6667 0.3333 0.4921
3 H 0.3333 0.6667 0.6361


# 3
DFT (GGA-PBE) results for crystalline Mg2Zr4H at its relaxed geometry.

Calculated values
Crystal system = tetragonal
SG = No. 139

Cell: 8.2190 8.2190 8.2190 Å, 149.48 149.48 43.71°
Atoms (fractional coordinates):
1 Mg 0.1412 0.1412 0.0000
2 Mg 0.8588 0.8588 0.0000
3 Zr 0.0000 0.5000 0.5000
4 Zr 0.3363 0.3363 0.0000
5 Zr 0.5000 0.0000 0.5000
6 Zr 0.6637 0.6637 0.0000
7 H 0.5000 0.5000 0.0000


# 4
DFT (GGA-PBE) results for crystalline Mg2ZrH6 at its relaxed geometry.

Calculated values
Crystal system = cubic
SG = No. 225

Cell: 5.1309 5.1309 5.1309 Å, 60.00 60.00 60.00°
Atoms (fractional coordinates):
1 Mg 0.2500 0.2500 0.2500
2 Mg 0.7500 0.7500 0.7500
3 Zr 0.0000 0.0000 0.0000
4 H 0.2702 0.2702 0.7298
5 H 0.2702 0.7298 0.2702
6 H 0.2702 0.7298 0.7298
7 H 0.7298 0.2702 0.2702
8 H 0.7298 0.2702 0.7298
9 H 0.7298 0.7298 0.2702


# 5
DFT (GGA-PBE) results for crystalline MgZr2H4 at its relaxed geometry.

Calculated values
Crystal system = tetragonal
SG = No. 141

Cell: 6.3965 6.3965 6.3965 Å, 126.04 126.04 79.82°
Atoms (fractional coordinates):
1 Mg 0.3750 0.6250 0.7500
2 Mg 0.6250 0.3750 0.2500
3 Zr 0.0000 0.0000 0.0000
4 Zr 0.0000 0.0000 0.5000
5 Zr 0.0000 0.5000 0.0000
6 Zr 0.5000 0.0000 0.5000
7 H 0.2129 0.2186 0.5057
8 H 0.2129 0.7072 0.9943
9 H 0.2186 0.2129 0.0057
10 H 0.2928 0.7871 0.5057
11 H 0.7072 0.2129 0.4943
12 H 0.7814 0.7871 0.9943
13 H 0.7871 0.2928 0.0057
14 H 0.7871 0.7814 0.4943


# 6
DFT (GGA-PBE) results for crystalline MgZrH2 at its relaxed geometry.

Calculated values
Crystal system = cubic
Excess energy over the best structure of this formula in the dataset = 453 meV/atom
SG = No. 225

Cell: 3.9997 3.9997 3.9997 Å, 60.00 60.00 60.00°
Atoms (fractional coordinates):
1 Mg 0.0000 0.0000 0.0000
2 Zr 0.5000 0.5000 0.5000
3 H 0.2500 0.2500 0.2500
4 H 0.7500 0.7500 0.7500


# 7
DFT (GGA-PBE) results for crystalline MgZrH2 at its relaxed geometry.

Calculated values
Crystal system = tetragonal
Excess energy over the best structure of this formula in the dataset = 51 meV/atom
SG = No. 122

Cell: 5.8168 5.8168 5.8168 Å, 133.44 133.44 67.97°
Atoms (fractional coordinates):
1 Mg 0.0000 0.0000 0.0000
2 Mg 0.7500 0.2500 0.5000
3 Zr 0.2500 0.7500 0.5000
4 Zr 0.5000 0.5000 0.0000
5 H 0.1410 0.6250 0.0160
6 H 0.3750 0.3910 0.5160
7 H 0.6090 0.1250 0.9840
8 H 0.8750 0.8590 0.4840


# 8
DFT (GGA-PBE) results for crystalline MgZrH2 at its relaxed geometry.

Calculated values
Crystal system = trigonal
Excess energy over the best structure of this formula in the dataset = 0 meV/atom
SG = No. 160

Cell: 6.0544 6.0544 6.0544 Å, 31.54 31.54 31.54°
Atoms (fractional coordinates):
1 Mg 0.0000 0.0000 0.0000
2 Zr 0.8164 0.8164 0.8164
3 H 0.1965 0.1965 0.1965
4 H 0.4428 0.4428 0.4428


no.,E (eV/atom)
1,-4.40
2,-4.65
3,-5.64
4,-3.39
5,-4.83
6,-3.99
7,-4.40
8,-4.45